1.
# Li2Hf2ScPt5

An optimized crystal structure of Li2Hf2ScPt5 (PBE, Alexandria via LeMat-Bulk).

Lattice parameters (Å, degrees): 3.653 9.291 9.291 90.00 90.00 90.00
Fractional coordinates of all 20 atoms:
1 Pt 0.500 0.209 0.074
2 Pt 0.500 0.291 0.574
3 Pt 0.500 0.574 0.709
4 Hf 0.000 0.825 0.675
5 Hf 0.000 0.175 0.325
6 Li 0.000 0.621 0.879
7 Pt 0.500 0.426 0.291
8 Sc 0.000 0.500 0.500
9 Hf 0.000 0.325 0.825
10 Li 0.000 0.879 0.379
11 Pt 0.500 0.500 0.000
12 Pt 0.500 0.926 0.209
13 Pt 0.500 0.000 0.500
14 Pt 0.500 0.791 0.926
15 Li 0.000 0.379 0.121
16 Pt 0.500 0.074 0.791
17 Pt 0.500 0.709 0.426
18 Sc 0.000 0.000 0.000
19 Li 0.000 0.121 0.621
20 Hf 0.000 0.675 0.175

- VASP energy (eV/atom) = -6.912
- energy relative to the elements (eV/atom) = -0.8853
- symmetry = P4/mbm, No. 127


2.
# Sm3HoH

An optimized crystal structure of Sm3HoH (PBE, Alexandria via LeMat-Bulk).

Lattice parameters (Å, degrees): 5.075 5.075 5.075 90.00 90.00 90.00
Fractional coordinates of all 5 atoms:
1 Sm 0.500 0.000 0.000
2 Ho 0.500 0.500 0.500
3 H 0.000 0.000 0.000
4 Sm 0.000 0.500 0.000
5 Sm 0.000 0.000 0.500

- VASP energy (eV/atom) = -4.584
- symmetry = Pm-3m, No. 221


3.
# MnCu4As

An optimized crystal structure of MnCu4As (PBE, Alexandria via LeMat-Bulk).

Lattice parameters (Å, degrees): 4.898 4.898 4.898 60.00 60.00 60.00
Fractional coordinates of all 6 atoms:
1 Cu 0.375 0.375 0.874
2 Cu 0.874 0.375 0.375
3 Cu 0.375 0.375 0.375
4 Cu 0.375 0.874 0.375
5 As 0.000 0.000 0.000
6 Mn 0.750 0.750 0.750

- VASP energy (eV/atom) = -4.882
- energy relative to the elements (eV/atom) = 0.1521
- symmetry = F-43m, No. 216


4.
# PmCdCu

An optimized crystal structure of PmCdCu (PBE, Alexandria via LeMat-Bulk).

Lattice parameters (Å, degrees): 3.438 3.428 11.346 89.99 90.00 90.00
Fractional coordinates of all 6 atoms:
1 Pm 0.106 0.076 0.506
2 Cd 0.606 0.576 0.300
3 Cu 0.607 0.574 0.671
4 Pm 0.606 0.576 0.928
5 Cu 0.107 0.075 0.762
6 Cd 0.106 0.076 0.133

- VASP energy (eV/atom) = -3.417
- energy relative to the elements (eV/atom) = -0.1628
- symmetry = Pmn2_1, No. 31
- relative energy among the computed polymorphs (meV per atom) = 114.6


5.
# P3PtRh

An optimized crystal structure of P3PtRh (PBE, Alexandria via LeMat-Bulk).

Lattice parameters (Å, degrees): 4.523 4.523 4.523 90.00 90.00 90.00
Fractional coordinates of all 5 atoms:
1 Pt 0.500 0.500 0.500
2 P 0.500 0.000 0.000
3 P 0.000 0.500 0.000
4 P 0.000 0.000 0.500
5 Rh 0.000 0.000 0.000

- VASP energy (eV/atom) = -5.137
- energy relative to the elements (eV/atom) = 0.7875
- symmetry = Pm-3m, No. 221
- relative energy among the computed polymorphs (meV per atom) = 0.0


6.
# NiMoHRu2

An optimized crystal structure of NiMoHRu2 (PBE, Alexandria via LeMat-Bulk).

Lattice parameters (Å, degrees): 3.853 3.853 3.862 90.00 90.00 90.00
Fractional coordinates of all 5 atoms:
1 Ni 0.500 0.500 0.500
2 Mo 0.000 0.000 0.500
3 H 0.000 0.000 0.000
4 Ru 0.500 0.000 0.000
5 Ru 0.000 0.500 0.000

- VASP energy (eV/atom) = -7.614
- symmetry = P4/mmm, No. 123
- relative energy among the computed polymorphs (meV per atom) = 68.5


7.
# Th3PtPb

An optimized crystal structure of Th3PtPb (PBE, Alexandria via LeMat-Bulk).

Lattice parameters (Å, degrees): 4.544 8.177 8.793 115.15 90.00 90.00
Fractional coordinates of all 10 atoms:
1 Pb 0.250 0.331 0.216
2 Th 0.750 0.026 0.207
3 Th 0.750 0.339 0.946
4 Pt 0.750 0.086 0.603
5 Th 0.250 0.323 0.593
6 Pt 0.250 0.914 0.397
7 Th 0.750 0.677 0.407
8 Pb 0.750 0.669 0.784
9 Th 0.250 0.974 0.793
10 Th 0.250 0.661 0.054

- VASP energy (eV/atom) = -6.957
- energy relative to the elements (eV/atom) = -0.5549
- symmetry = P2_1/m, No. 11


8.
# YMoN3

An optimized crystal structure of YMoN3 (PBE, Alexandria via LeMat-Bulk).

Lattice parameters (Å, degrees): 5.724 7.716 3.582 88.98 84.01 65.89
Fractional coordinates of all 10 atoms:
1 Mo 0.380 0.681 0.916
2 N 0.527 0.724 0.388
3 Y 0.638 0.179 0.004
4 Mo 0.177 0.001 0.465
5 N 0.847 0.238 0.475
6 N 0.067 0.935 0.974
7 N 0.726 0.638 0.104
8 N 0.281 0.488 0.995
9 Y 0.004 0.455 0.556
10 N 0.369 0.139 0.523

- VASP energy (eV/atom) = -9.185
- symmetry = P1, No. 1


9.
# KSm2Pb3S6

An optimized crystal structure of KSm2Pb3S6 (PBE, Alexandria via LeMat-Bulk).

Lattice parameters (Å, degrees): 4.048 9.085 9.326 102.20 102.54 90.00
Fractional coordinates of all 12 atoms:
1 S 0.987 0.729 0.974
2 Pb 0.160 0.832 0.321
3 Pb 0.840 0.168 0.679
4 S 0.680 0.126 0.361
5 S 0.671 0.554 0.341
6 Sm 0.833 0.666 0.666
7 S 0.013 0.271 0.026
8 S 0.329 0.446 0.659
9 Pb 0.500 0.500 0.000
10 K 0.500 0.000 0.000
11 Sm 0.167 0.334 0.334
12 S 0.320 0.874 0.639

- VASP energy (eV/atom) = -5.031
- symmetry = C2/m, No. 12


10.
# CsPb6O8

An optimized crystal structure of CsPb6O8 (PBE, Alexandria via LeMat-Bulk).

Lattice parameters (Å, degrees): 8.592 8.592 7.813 56.64 56.64 60.00
Fractional coordinates of all 15 atoms:
1 O 0.378 0.378 0.866
2 Pb 0.437 0.438 0.267
3 O 0.622 0.622 0.134
4 O 0.708 0.706 0.363
5 Pb 0.563 0.562 0.733
6 O 0.223 0.708 0.363
7 Cs 0.000 0.000 0.000
8 O 0.294 0.777 0.637
9 O 0.292 0.294 0.637
10 O 0.777 0.292 0.637
11 Pb 0.142 0.563 0.733
12 Pb 0.438 0.858 0.267
13 Pb 0.562 0.142 0.733
14 O 0.706 0.223 0.363
15 Pb 0.858 0.437 0.267

- VASP energy (eV/atom) = -5.071
- symmetry = R-3, No. 148


11.
# Er8Hg3CSe3

An optimized crystal structure of Er8Hg3CSe3 (PBE, Alexandria via LeMat-Bulk).

Lattice parameters (Å, degrees): 7.811 7.808 8.753 116.51 89.99 120.00
Fractional coordinates of all 15 atoms:
1 Er 0.742 0.484 0.727
2 Er 0.788 0.008 0.297
3 Er 0.788 0.576 0.296
4 Se 0.000 0.500 0.500
5 Er 0.258 0.516 0.273
6 Er 0.220 0.008 0.296
7 Er 0.780 0.992 0.704
8 Er 0.212 0.424 0.704
9 C 0.000 0.000 0.500
10 Er 0.212 0.992 0.703
11 Se 0.500 0.500 0.500
12 Hg 0.500 0.500 0.000
13 Hg 0.000 0.000 0.000
14 Hg 0.000 0.500 0.000
15 Se 0.500 0.000 0.500

- VASP energy (eV/atom) = -4.681
- symmetry = R-3m, No. 166


12.
# Ca2LaInNi

An optimized crystal structure of Ca2LaInNi (PBE, Alexandria via LeMat-Bulk).

Lattice parameters (Å, degrees): 5.455 5.455 5.267 90.00 90.00 90.00
Fractional coordinates of all 5 atoms:
1 La 0.000 0.000 0.500
2 Ca 0.000 0.500 0.000
3 Ni 0.000 0.000 0.000
4 Ca 0.500 0.000 0.000
5 In 0.500 0.500 0.500

- VASP energy (eV/atom) = -3.691
- energy relative to the elements (eV/atom) = -0.2014
- symmetry = P4/mmm, No. 123
- relative energy among the computed polymorphs (meV per atom) = 0.0